A plane-wave DFT calculation with GGA-PBE was carried out for crystalline EuDy2Zr at its relaxed geometry.

Cell: 3.4778 3.4778 10.1876 Å, 90.00 90.00 90.00°
Last column: nearest neighbours and their distance in Å.
Atoms (fractional coordinates):
Eu (0.5000, 0.5000, 0.5000)  4 Eu 3.48, 8 Dy 3.79
Zr (0.5000, 0.5000, 0.0000)  8 Dy 3.31, 4 Zr 3.48
Dy (0.0000, 0.0000, 0.7830)  4 Zr 3.31, 4 Dy 3.48
Dy (0.0000, 0.0000, 0.2170)  4 Zr 3.31, 4 Dy 3.48

Calculated values
- Offset from the most stable computed form: 0.00 eV/f.u.
- Spin magnetization: 1.916 μB/atom
- Volume: 30.8 A^3/atom
- Space-group type: P4/mmm, No. 123
- Formation energy from the elements: 0.096 eV per atom
- DFT total energy: -27.64 eV per cell